Record 1
{
  "formula": "CdGaCu3",
  "functional": "PBE",
  "state": "relaxed",
  "formation_enthalpy_0k_ev_per_atom": 0.021,
  "de_polymorph_ev_per_fu": 0.00,
  "lattice": [[4.980, 0.000, 0.000], [0.000, 8.818, 0.000], [-2.490, -4.409, 3.470]],
  "species": ["Cd", "Cd", "Ga", "Ga", "Cu", "Cu", "Cu", "Cu", "Cu", "Cu"],
  "fractional_positions": [[0.250, 0.249, 0.500], [0.750, 0.751, 0.500], [0.000, 0.500, 0.000], [0.500, 0.000, 0.000], [0.817, 0.317, 0.134], [0.317, 0.317, 0.134], [0.683, 0.683, 0.866], [0.183, 0.683, 0.866], [0.250, 0.946, 0.500], [0.750, 0.054, 0.500]]
}


Record 2
{
  "formula": "LuZrCoCu",
  "functional": "PBE",
  "state": "relaxed",
  "formation_enthalpy_0k_ev_per_atom": -0.227,
  "lattice": [[-3.135, 2.989, -1.635], [-4.422, -0.326, 1.330], [-1.818, 3.209, 2.798]],
  "species": ["Lu", "Co", "Zr", "Cu"],
  "fractional_positions": [[0.000, 0.000, 0.000], [0.750, 0.750, 0.750], [0.500, 0.500, 0.500], [0.250, 0.250, 0.250]]
}


Record 3
{
  "formula": "Nd3ZnHg2",
  "functional": "PBE",
  "state": "relaxed",
  "formation_enthalpy_0k_ev_per_atom": -0.418,
  "de_polymorph_ev_per_fu": 0.00,
  "lattice": [[-1.395, 3.468, 0.459], [-3.167, -1.042, -1.751], [-4.528, -3.153, 10.069]],
  "species": ["Nd", "Nd", "Nd", "Zn", "Hg", "Hg"],
  "fractional_positions": [[0.000, 0.000, 0.000], [0.000, 0.000, 0.652], [0.000, 0.000, 0.348], [0.500, 0.500, 0.500], [0.500, 0.500, 0.825], [0.500, 0.500, 0.175]]
}


Record 4
{
  "formula": "Sr2LaSi",
  "functional": "PBE",
  "state": "relaxed",
  "raw_formation_energy_ev_per_atom": 0.1167,
  "lattice": [[5.671, 0.000, 0.000], [2.835, 4.911, 0.000], [2.835, 1.637, 4.630]],
  "species": ["La", "Si", "Sr", "Sr"],
  "fractional_positions": [[0.500, 0.500, 0.500], [0.750, 0.750, 0.750], [0.000, 0.000, 0.000], [0.250, 0.250, 0.250]]
}


Record 5
{
  "formula": "BiSbTe",
  "functional": "PBE",
  "state": "relaxed",
  "raw_formation_energy_ev_per_atom": -0.0617,
  "de_polymorph_ev_per_fu": 0.00,
  "lattice": [[-1.630, 3.785, 1.226], [-4.117, -3.800, 6.252], [8.944, 1.625, 6.878]],
  "species": ["Bi", "Bi", "Bi", "Bi", "Sb", "Sb", "Sb", "Sb", "Te", "Te", "Te", "Te"],
  "fractional_positions": [[0.250, 0.655, 0.232], [0.750, 0.345, 0.768], [0.250, 0.155, 0.268], [0.750, 0.845, 0.732], [0.750, 0.383, 0.504], [0.250, 0.117, 0.004], [0.750, 0.883, 0.996], [0.250, 0.617, 0.496], [0.250, 0.086, 0.654], [0.750, 0.414, 0.154], [0.250, 0.586, 0.846], [0.750, 0.914, 0.346]]
}


Record 6
{
  "formula": "NdGd2Dy",
  "functional": "PBE",
  "state": "relaxed",
  "formation_enthalpy_0k_ev_per_atom": 0.093,
  "de_polymorph_ev_per_fu": 0.29,
  "lattice": [[5.715, 0.000, 0.000], [2.857, 4.949, 0.000], [2.857, 1.650, 4.666]],
  "species": ["Gd", "Gd", "Nd", "Dy"],
  "fractional_positions": [[0.250, 0.250, 0.250], [0.750, 0.750, 0.750], [0.500, 0.500, 0.500], [0.000, 0.000, 0.000]]
}